# Ba3NaSr

Ba3NaSr after structural relaxation (PBE, the Alexandria database).

Values from the calculation:
V   75.49 Å³ per atom
DFT total energy   -1.226 eV per atom
Formation energy from the elements   2.64 eV/f.u.
Fermi-level density of states   8.27 states/eV/cell
ΔE to the lowest computed polymorph   516 meV/atom

a b c (Å): 7.227 7.227 7.227
angles (deg): 90.00 90.00 90.00
Last column: magnetic moment on the atom in μB.
Positions (direct):
Ba 0.500 0.000 0.000  0.17
Ba 0.000 0.000 0.500  0.29
Ba 0.000 0.500 0.000  0.23
Na 0.500 0.500 0.500  -0.01
Sr 0.000 0.000 0.000  0.29